No. 1
Below is AlAg2F5 after structural relaxation, with properties calculated at the PBE level.

Properties
As for the density of states at the Fermi level: 0.0 states/eV/cell. The calculation puts the formation energy (no corrections) at -1771 kJ/mol of formula units. The excess energy over the best structure of this formula in the dataset comes out at 0 meV/atom. Its total magnetization is 0.00 μB/atom. As for the density: 5.10 Mg/m³. The value obtained for the total DFT energy (no corrections) is -37.158 eV/cell. Its volume is 13.7 Å³ per atom.

Unit cell a=6.164 b=6.164 c=3.735 alpha=107.55 beta=107.55 gamma=55.48
Positions (direct):
Al 0.000 0.000 0.000
Ag 0.351 0.351 0.352
Ag 0.649 0.649 0.648
F 0.000 0.000 0.500
F 0.098 0.650 0.875
F 0.350 0.902 0.125
F 0.650 0.098 0.875
F 0.902 0.350 0.125

=====

No. 2
Below is PrTmGaIr after structural relaxation, with properties calculated at the PBE level.

Properties
As for the density of states at the Fermi level: 3.3 states/eV/cell. The calculation puts the energy relative to the elements at -678 meV per atom. The excess energy over the best structure of this formula in the dataset comes out at 0 meV/atom. Its total magnetization is 0.00 μB/atom. As for the density: 9.99 Mg/m³. The value obtained for the total DFT energy (no corrections) is -23.852 eV/cell. Its volume is 23.8 Å³ per atom.

Unit cell a=3.964 b=6.037 c=6.037 alpha=41.14 beta=90.00 gamma=90.00
Positions (direct):
Pr 0.000 0.000 0.000
Tm 0.500 0.285 0.285
Ga 0.500 0.591 0.591
Ir 0.000 0.736 0.736

=====

No. 3
Below is SmSnHg after structural relaxation, with properties calculated at the PBE level.

Properties
As for the density of states at the Fermi level: 5.7 states/eV/cell. The calculation puts the energy relative to the elements at -409 meV per atom. Its total magnetization is 0.00 μB/atom. As for the density: 9.69 Mg/m³. The value obtained for the total DFT energy (no corrections) is -20.500 eV/cell. Its volume is 26.8 Å³ per atom.

Unit cell a=7.926 b=7.926 c=4.683 alpha=90.00 beta=90.00 gamma=146.83
Positions (direct):
Sm 0.094 0.906 0.750
Sm 0.906 0.094 0.250
Sn 0.250 0.750 0.250
Sn 0.750 0.250 0.750
Hg 0.428 0.572 0.750
Hg 0.572 0.428 0.250

=====

No. 4
Below is LaTi2TeRu after structural relaxation, with properties calculated at the PBE level.

Properties
As for the density of states at the Fermi level: 12.7 states/eV/cell. The calculation puts the formation energy (no corrections) at 462 kJ/mol of formula units. The excess energy over the best structure of this formula in the dataset comes out at 0 meV/atom. Its total magnetization is 0.00 μB/atom. As for the density: 5.48 Mg/m³. The value obtained for the total DFT energy (no corrections) is -28.350 eV/cell. Its volume is 28.1 Å³ per atom.

Unit cell a=4.902 b=4.902 c=5.847 alpha=90.00 beta=90.00 gamma=90.00
Positions (direct):
La 0.000 0.000 0.000
Ti 0.000 0.500 0.500
Ti 0.500 0.000 0.500
Te 0.000 0.000 0.500
Ru 0.500 0.500 0.000

=====

No. 5
Below is ScHg2Rh after structural relaxation, with properties calculated at the PBE level.

Properties
As for the density of states at the Fermi level: 1.8 states/eV/cell. The calculation puts the energy relative to the elements at -365 meV per atom. Its total magnetization is 0.00 μB/atom. As for the density: 11.40 Mg/m³. The value obtained for the total DFT energy (no corrections) is -15.745 eV/cell. Its volume is 20.0 Å³ per atom.

Unit cell a=3.264 b=3.296 c=7.432 alpha=90.00 beta=90.40 gamma=90.00
Positions (direct):
Sc 0.000 0.000 0.000
Hg 0.005 0.000 0.429
Hg 0.496 0.500 0.724
Rh 0.504 0.500 0.184

=====

No. 6
Below is Zn2FeSe after structural relaxation, with properties calculated at the PBE level.

Properties
As for the density of states at the Fermi level: 1.1 states/eV/cell. The calculation puts the formation energy (no corrections) at 32 kJ/mol of formula units. Its total magnetization is 0.36 μB/atom. As for the density: 6.88 Mg/m³. The value obtained for the total DFT energy (no corrections) is -14.167 eV/cell. Its volume is 16.0 Å³ per atom.

Unit cell a=8.188 b=8.188 c=8.188 alpha=21.42 beta=21.42 gamma=21.42
Positions (direct):
Zn 0.000 0.000 0.000
Zn 0.248 0.248 0.248
Fe 0.746 0.746 0.746
Se 0.477 0.477 0.477